## HoCuBi2S5 (PBE-GGA)

Data for an optimized crystal structure of HoCuBi2S5.

Computed properties:
**SG**: No. 36
**V**: 447 Å³/cell
**Spin magnetization**: 0.00 μB/cell
**Formation energy without anion corrections**: -0.7831 eV/atom

Cell lengths 3.944, 9.529, 12.156 Å; angles 90.00, 90.00, 101.94 degrees
Fractional coordinates of all 18 atoms:
S1 0.709 0.418 0.168
S2 0.291 0.582 0.668
S3 0.507 0.013 0.797
S4 0.683 0.366 0.862
S5 0.943 0.887 0.557
S6 0.493 0.987 0.297
S7 0.317 0.634 0.362
S8 0.652 0.304 0.526
S9 0.348 0.696 0.026
S10 0.057 0.113 0.057
Ho1 0.800 0.599 0.509
Ho2 0.200 0.401 0.009
Bi1 0.912 0.824 0.768
Bi2 0.850 0.700 0.178
Bi3 0.150 0.300 0.678
Bi4 0.088 0.176 0.268
Cu1 0.429 0.858 0.459
Cu2 0.571 0.142 0.959

=====

## ZnCuAu (PBE-GGA)

Data for an optimized crystal structure of ZnCuAu.

Computed properties:
**SG**: No. 2
**V**: 90 Å³/cell
**Energy of formation**: -0.306 eV/f.u.
**Spin magnetization**: 0.00 μB/cell

Cell lengths 2.841, 6.218, 7.007 Å; angles 48.83, 77.51, 77.00 degrees
Fractional coordinates of all 6 atoms:
Cu1 0.566 0.422 0.319
Cu2 0.570 0.919 0.822
Au1 0.900 0.386 0.686
Au2 0.235 0.956 0.455
Zn1 0.923 0.870 0.165
Zn2 0.213 0.471 0.976

=====

## KInC (PBE-GGA)

Data for an optimized crystal structure of KInC.

Computed properties:
**SG**: No. 63
**V**: 205 Å³/cell
**Energy of formation**: 2.788 eV/f.u.
**Spin magnetization**: 0.00 μB/cell

Cell lengths 6.480, 6.480, 6.356 Å; angles 90.00, 90.00, 129.71 degrees
Fractional coordinates of all 6 atoms:
In1 0.500 0.500 0.000
In2 0.500 0.500 0.500
C1 0.385 0.615 0.750
C2 0.615 0.385 0.250
K1 0.797 0.203 0.750
K2 0.203 0.797 0.250

=====

## AgHg2Cl6 (PBE-GGA)

Data for an optimized crystal structure of AgHg2Cl6.

Computed properties:
**SG**: No. 136
**V**: 533 Å³/cell
**Spin magnetization**: 2.07 μB/cell
**Formation energy without anion corrections**: -0.4650 eV/atom

Cell lengths 6.832, 6.832, 11.413 Å; angles 90.00, 90.00, 90.00 degrees
Last column: magnetic moment on the atom in μB.
Fractional coordinates of all 18 atoms:
Cl1 0.676 0.676 0.341  0.13
Cl2 0.683 0.683 0.000  0.01
Cl3 0.676 0.676 0.659  0.13
Cl4 0.324 0.324 0.659  0.13
Cl5 0.817 0.183 0.500  0.01
Cl6 0.324 0.324 0.341  0.13
Cl7 0.176 0.824 0.159  0.13
Cl8 0.824 0.176 0.159  0.13
Cl9 0.317 0.317 0.000  0.01
Cl10 0.176 0.824 0.841  0.13
Cl11 0.183 0.817 0.500  0.01
Cl12 0.824 0.176 0.841  0.13
Hg1 0.500 0.500 0.834  0.01
Hg2 0.000 0.000 0.666  0.01
Hg3 0.500 0.500 0.166  0.01
Hg4 0.000 0.000 0.334  0.01
Ag1 0.000 0.000 0.000  0.35
Ag2 0.500 0.500 0.500  0.35

=====

## Rb2CePtO4 (PBE-GGA)

Data for an optimized crystal structure of Rb2CePtO4.

Computed properties:
**SG**: No. 82
**V**: 156 Å³/cell
**Spin magnetization**: 0.00 μB/cell
**Formation energy without anion corrections**: -1.7346 eV/atom

Cell lengths 5.893, 5.893, 5.893 Å; angles 102.59, 113.02, 113.02 degrees
Fractional coordinates of all 8 atoms:
Pt1 0.000 0.500 0.500
O1 0.158 0.319 0.728
O2 0.842 0.570 0.161
O3 0.409 0.839 0.681
O4 0.591 0.272 0.430
Ce1 0.500 0.250 0.750
Rb1 0.500 0.750 0.250
Rb2 0.000 0.000 0.000

=====

## PmPaCO (PBE-GGA)

Data for an optimized crystal structure of PmPaCO.

Computed properties:
**SG**: No. 129
**V**: 147 Å³/cell
**Spin magnetization**: 0.00 μB/cell
**Formation energy without anion corrections**: -1.2711 eV/atom

Cell lengths 4.098, 4.098, 8.739 Å; angles 90.00, 90.00, 90.00 degrees
Fractional coordinates of all 8 atoms:
Pa1 0.500 0.500 0.000
Pa2 0.000 0.000 0.000
O1 0.000 0.000 0.500
O2 0.500 0.500 0.500
Pm1 0.000 0.500 0.373
Pm2 0.500 0.000 0.627
C1 0.000 0.500 0.849
C2 0.500 0.000 0.151